Record 1
! YSc2Tc, PBEsol geometry, DFT SCAN; values from VASP
&SYSTEM
  ibrav = 0, nat = 4, ntyp = 3
/
ATOMIC_SPECIES
Y 88.91 Y.upf
Sc 44.96 Sc.upf
Tc 98.00 Tc.upf
CELL_PARAMETERS angstrom
-1.7250 2.4796 4.9973
1.7250 -2.4796 4.9973
1.7250 2.4796 -4.9973
ATOMIC_POSITIONS angstrom
Y 0.0000 0.0000 0.0000
Sc 1.7250 0.0000 2.9005
Sc 0.0000 0.0000 5.8718
Tc 0.0000 2.4796 2.7928
! Calculated density, g cm⁻³: 5.4
! E above lowest polymorph, eV per atom: 0.087



Record 2
! YScTc, PBEsol geometry, DFT SCAN; values from VASP
&SYSTEM
  ibrav = 0, nat = 3, ntyp = 3
/
ATOMIC_SPECIES
Y 88.91 Y.upf
Sc 44.96 Sc.upf
Tc 98.00 Tc.upf
CELL_PARAMETERS angstrom
0.0000 2.3689 5.7542
2.3615 0.0000 5.7542
2.3615 2.3689 0.0000
ATOMIC_POSITIONS angstrom
Y 0.0000 0.0000 0.0000
Sc 2.3615 2.3689 3.0849
Tc 2.3615 2.3689 7.4533
! Calculated density, g cm⁻³: 6.0
! E above lowest polymorph, eV per atom: 0.000



Record 3
! YScTc4, PBEsol geometry, DFT SCAN; values from VASP
&SYSTEM
  ibrav = 0, nat = 6, ntyp = 3
/
ATOMIC_SPECIES
Y 88.91 Y.upf
Sc 44.96 Sc.upf
Tc 98.00 Tc.upf
CELL_PARAMETERS angstrom
0.0000 3.7178 3.7178
3.7178 0.0000 3.7178
3.7178 3.7178 0.0000
ATOMIC_POSITIONS angstrom
Y 0.0000 0.0000 0.0000
Sc 1.8589 1.8589 1.8589
Tc 4.6451 2.7904 2.7904
Tc 2.7904 4.6451 2.7904
Tc 2.7904 2.7904 4.6451
Tc 4.6451 4.6451 4.6451
! Total DFT energy (no corrections), eV/cell: -183.9
! Calculated density, g cm⁻³: 8.5



no.,total magnetization (μB per cell),DOS(E_F) (states/eV per cell)
1,0.00,4.86
2,0.00,3.02
3,0.00,5.23